[1]
Material: PmHoEr2Tm4
Method: DFT, PBE
State: relaxed

- Calculated formation energy: 0.45 eV per atom
- Crystal system: monoclinic

Structure (CIF):
```
data_PmHoEr2Tm4
_cell_length_a 13.445
_cell_length_b 13.207
_cell_length_c 6.725
_cell_angle_alpha 90.00
_cell_angle_beta 120.01
_cell_angle_gamma 90.00
_space_group_name_H-M_alt 'C 1 2/c 1'
_space_group_IT_number 15
loop_
_space_group_symop_operation_xyz
'x,y,z'
'-x,-y,-z'
'-x,y,-z+1/2'
'x,-y,z+1/2'
'x+1/2,y+1/2,z'
'-x+1/2,-y+1/2,-z'
'-x+1/2,y+1/2,-z+1/2'
'x+1/2,-y+1/2,z+1/2'
loop_
_atom_site_label
_atom_site_type_symbol
_atom_site_fract_x
_atom_site_fract_y
_atom_site_fract_z
_atom_site_occupancy
Pm1 Pm 0.250 0.250 0.000 1
Ho1 Ho 0.000 0.000 0.000 1
Er1 Er 0.000 0.500 0.000 1
Er2 Er 0.250 0.250 0.500 1
Tm1 Tm 0.000 0.251 0.001 1
Tm2 Tm 0.250 0.002 0.502 1
```


[2]
Material: La4NiCl5
Method: DFT, PBE
State: relaxed

- Total energy: -5.15 eV per atom
- Crystal system: monoclinic

Structure (CIF):
```
data_La4NiCl5
_cell_length_a 18.368
_cell_length_b 3.952
_cell_length_c 8.571
_cell_angle_alpha 90.00
_cell_angle_beta 102.10
_cell_angle_gamma 90.00
_space_group_name_H-M_alt 'C 1 2/m 1'
_space_group_IT_number 12
loop_
_space_group_symop_operation_xyz
'x,y,z'
'-x,-y,-z'
'-x,y,-z'
'x,-y,z'
'x+1/2,y+1/2,z'
'-x+1/2,-y+1/2,-z'
'-x+1/2,y+1/2,-z'
'x+1/2,-y+1/2,z'
loop_
_atom_site_label
_atom_site_type_symbol
_atom_site_fract_x
_atom_site_fract_y
_atom_site_fract_z
_atom_site_occupancy
La1 La 0.004 0.000 0.224 1
La2 La 0.170 0.500 0.070 1
Ni1 Ni 0.000 0.500 0.000 1
Cl1 Cl 0.000 0.500 0.500 1
Cl2 Cl 0.162 0.000 0.811 1
Cl3 Cl 0.167 0.000 0.318 1
```


[3]
Material: Ca2AsAu
Method: DFT, PBE
State: relaxed

- Calculated formation energy: -0.77 eV per atom
- Crystal system: orthorhombic

Structure (CIF):
```
data_Ca2AsAu
_cell_length_a 4.087
_cell_length_b 4.363
_cell_length_c 11.032
_cell_angle_alpha 90.00
_cell_angle_beta 90.00
_cell_angle_gamma 90.00
_space_group_name_H-M_alt 'I m m 2'
_space_group_IT_number 44
loop_
_space_group_symop_operation_xyz
'x,y,z'
'-x,-y,z'
'-x,y,z'
'x,-y,z'
'x+1/2,y+1/2,z+1/2'
'-x+1/2,-y+1/2,z+1/2'
'-x+1/2,y+1/2,z+1/2'
'x+1/2,-y+1/2,z+1/2'
loop_
_atom_site_label
_atom_site_type_symbol
_atom_site_fract_x
_atom_site_fract_y
_atom_site_fract_z
_atom_site_occupancy
Ca1 Ca 0.000 0.000 0.000 1
Ca2 Ca 0.000 0.500 0.236 1
As1 As 0.000 0.500 0.783 1
Au1 Au 0.000 0.000 0.479 1
```


[4]
Material: Ca3HgI
Method: DFT, PBE
State: relaxed

- Crystal system: cubic
- Distance to the lowest polymorph of the same formula: 0.0 meV per atom

Structure (CIF):
```
data_Ca3HgI
_cell_length_a 5.916
_cell_length_b 5.916
_cell_length_c 5.916
_cell_angle_alpha 90.00
_cell_angle_beta 90.00
_cell_angle_gamma 90.00
_space_group_name_H-M_alt 'P m -3 m'
_space_group_IT_number 221
_space_group_name_Hall '-P 4 2 3'
loop_
_atom_site_label
_atom_site_type_symbol
_atom_site_fract_x
_atom_site_fract_y
_atom_site_fract_z
_atom_site_occupancy
Ca1 Ca 0.000 0.000 0.500 1
Hg1 Hg 0.000 0.000 0.000 1
I1 I 0.500 0.500 0.500 1
```


[5]
Material: Li3Cu6Ge2
Method: DFT, PBE
State: relaxed

- Calculated formation energy: -0.13 eV per atom
- Crystal system: triclinic

Structure (CIF):
```
data_Li3Cu6Ge2
_cell_length_a 4.279
_cell_length_b 4.879
_cell_length_c 7.257
_cell_angle_alpha 88.15
_cell_angle_beta 87.97
_cell_angle_gamma 70.37
_space_group_name_H-M_alt 'P -1'
_space_group_IT_number 2
loop_
_space_group_symop_operation_xyz
'x,y,z'
'-x,-y,-z'
loop_
_atom_site_label
_atom_site_type_symbol
_atom_site_fract_x
_atom_site_fract_y
_atom_site_fract_z
_atom_site_occupancy
Li1 Li 0.000 0.000 0.000 1
Li2 Li 0.113 0.812 0.634 1
Cu1 Cu 0.280 0.425 0.918 1
Cu2 Cu 0.352 0.266 0.551 1
Cu3 Cu 0.439 0.080 0.189 1
Ge1 Ge 0.207 0.599 0.270 1
```


[6]
Material: Ta2ZnCl
Method: DFT, PBE
State: relaxed

- Crystal system: orthorhombic
- Distance to the lowest polymorph of the same formula: 482.0 meV per atom

Structure (CIF):
```
data_Ta2ZnCl
_cell_length_a 2.932
_cell_length_b 4.732
_cell_length_c 5.154
_cell_angle_alpha 90.00
_cell_angle_beta 90.00
_cell_angle_gamma 90.00
_space_group_name_H-M_alt 'P m m m'
_space_group_IT_number 47
loop_
_space_group_symop_operation_xyz
'x,y,z'
'-x,-y,-z'
'-x,-y,z'
'x,y,-z'
'x,-y,-z'
'-x,y,z'
'-x,y,-z'
'x,-y,z'
loop_
_atom_site_label
_atom_site_type_symbol
_atom_site_fract_x
_atom_site_fract_y
_atom_site_fract_z
_atom_site_occupancy
Ta1 Ta 0.000 0.000 0.000 1
Ta2 Ta 0.500 0.000 0.500 1
Zn1 Zn 0.000 0.500 0.500 1
Cl1 Cl 0.500 0.500 0.000 1
```


What theoretical density values result from the calculations? In sequence: 8.48 4.32 5.94 3.59 6.38 10.75 Mg/m³.